# 1
Below is a geometry-optimized KSrCuH2 structure, with properties calculated at the PBE level.

Geometry as POSCAR:
```
KSrCuH2
1.0
4.582 0.000 0.000
0.000 4.582 0.000
0.000 0.000 5.289
K Sr Cu H
1 1 1 2
Cartesian
0.000 0.000 0.000 K
2.291 2.291 0.000 Sr
0.000 0.000 2.645 Cu
0.000 2.291 2.645 H
2.291 0.000 2.645 H
```

Results
DOS(E_F)   0.445 states/eV per atom
Symmetry   P4/mmm
Total DFT energy (no corrections)   -1.9047 eV/atom



# 2
Below is a geometry-optimized K2SrCu2H6 structure, with properties calculated at the PBE level.

Geometry as POSCAR:
```
K2SrCu2H6
1.0
5.058 -2.832 0.000
5.058 2.832 0.000
-3.036 0.000 6.357
K Sr Cu H
2 1 2 6
Cartesian
1.563 0.000 1.009 K
5.516 0.000 5.348 K
-1.518 0.000 3.178 Sr
2.233 0.000 4.785 Cu
4.847 0.000 1.571 Cu
4.057 1.378 1.293 H
0.752 0.000 4.155 H
3.023 1.378 5.064 H
4.057 -1.378 1.293 H
6.327 0.000 2.202 H
3.023 -1.378 5.064 H
```

Results
Symmetry   C2/m
Total DFT energy (no corrections)   -3.1173 eV/atom



# 3
Below is a geometry-optimized KYCu2H structure, with properties calculated at the PBE level.

Geometry as POSCAR:
```
KYCu2H
1.0
5.030 0.000 0.000
0.000 5.030 0.000
0.000 0.000 3.979
K Y Cu H
1 1 2 1
Cartesian
0.000 0.000 0.000 K
2.515 2.515 0.000 Y
0.000 2.515 1.990 Cu
2.515 0.000 1.990 Cu
2.515 2.515 1.990 H
```

Results
DOS(E_F)   0.420 states/eV per atom
Symmetry   P4/mmm
Total DFT energy (no corrections)   -3.5169 eV/atom



# 4
Below is a geometry-optimized KZn2CuH structure, with properties calculated at the PBE level.

Geometry as POSCAR:
```
KZn2CuH
1.0
7.217 0.000 0.000
0.000 7.217 0.000
0.000 0.000 6.032
K Zn Cu H
1 2 1 1
Cartesian
0.000 0.000 0.000 K
0.000 3.609 0.000 Zn
3.609 0.000 0.000 Zn
0.000 0.000 3.016 Cu
3.609 3.609 3.016 H
```

Results
DOS(E_F)   0.000 states/eV per atom
Symmetry   P4/mmm
Total DFT energy (no corrections)   -1.0027 eV/atom



# 5
Below is a geometry-optimized La2CuH structure, with properties calculated at the PBE level.

Geometry as POSCAR:
```
La2CuH
1.0
-3.485 3.485 3.786
3.485 -3.485 3.786
3.485 3.485 -3.786
La Cu H
4 2 2
Cartesian
5.228 1.276 -0.947 La
1.276 1.743 0.947 La
-1.743 2.209 2.840 La
2.209 1.743 4.733 La
3.485 0.000 1.893 Cu
0.000 0.000 3.786 Cu
0.000 0.000 0.000 H
0.000 3.485 1.893 H
```

Results
DOS(E_F)   0.452 states/eV per atom
Symmetry   I-42d
Energy above the most stable polymorph in this dataset   0 meV per atom



# 6
Below is a geometry-optimized La2CuH structure, with properties calculated at the PBE level.

Geometry as POSCAR:
```
La2CuH
1.0
1.950 1.126 6.966
-1.950 1.126 6.966
0.000 -2.252 6.966
La Cu H
2 1 1
Cartesian
0.000 0.000 0.000 La
0.000 0.000 3.981 La
0.000 0.000 8.929 Cu
0.000 0.000 12.420 H
```

Results
DOS(E_F)   0.625 states/eV per atom
Symmetry   R3m
Energy above the most stable polymorph in this dataset   5 meV per atom